Entry 1:
LiMgIrW: relaxed, PBE.

Unit cell a=4.358 b=4.358 c=4.358 alpha=60.00 beta=60.00 gamma=60.00
Atoms (fractional coordinates):
Li 0.500 0.500 0.500
W 0.250 0.250 0.250
Mg 0.750 0.750 0.750
Ir 0.000 0.000 0.000

ΔE to the lowest computed polymorph   0.000 eV per atom
Symmetry   No. 216

Entry 2:
LiMgIrW: relaxed, PBE.

Unit cell a=4.359 b=4.359 c=4.359 alpha=60.00 beta=60.00 gamma=60.00
Atoms (fractional coordinates):
W 0.000 0.000 0.000
Mg 0.750 0.750 0.750
Li 0.250 0.250 0.250
Ir 0.500 0.500 0.500

ΔE to the lowest computed polymorph   0.767 eV per atom
Symmetry   No. 216

Entry 3:
LiMgIrW: relaxed, PBE.

Unit cell a=4.356 b=4.356 c=4.356 alpha=60.00 beta=60.00 gamma=60.00
Atoms (fractional coordinates):
W 0.000 0.000 0.000
Li 0.500 0.500 0.500
Ir 0.250 0.250 0.250
Mg 0.750 0.750 0.750

ΔE to the lowest computed polymorph   0.110 eV per atom
Symmetry   No. 216

Entry 4:
LiMo2Ir: relaxed, PBE.

Unit cell a=4.337 b=4.337 c=4.337 alpha=60.00 beta=60.00 gamma=60.00
Atoms (fractional coordinates):
Li 0.500 0.500 0.500
Mo 0.000 0.000 0.000
Mo 0.750 0.750 0.750
Ir 0.250 0.250 0.250

Symmetry   No. 216

Entry 5:
LiNd2IrN2: relaxed, PBE.

Unit cell a=3.765 b=3.978 c=6.871 alpha=90.00 beta=90.00 gamma=90.00
Atoms (fractional coordinates):
Nd 0.500 0.500 0.746
Nd 0.500 0.500 0.254
Li 0.000 0.000 0.500
Ir 0.000 0.000 0.000
N 0.500 0.000 0.000
N 0.000 0.500 0.500

Symmetry   No. 47

Entry 6:
LiIrNO: relaxed, PBE.

Unit cell a=2.932 b=5.457 c=5.655 alpha=90.00 beta=90.00 gamma=90.00
Atoms (fractional coordinates):
O 0.500 0.349 0.135
O 0.500 0.849 0.865
Ir 0.000 0.040 0.681
Ir 0.000 0.540 0.319
Li 0.500 0.001 0.169
Li 0.500 0.501 0.831
N 0.000 0.364 0.611
N 0.000 0.864 0.389

ΔE to the lowest computed polymorph   0.005 eV per atom
Symmetry   No. 26

Entry 7:
LiIrNO: relaxed, PBE.

Unit cell a=3.675 b=3.675 c=7.296 alpha=90.00 beta=90.00 gamma=90.00
Atoms (fractional coordinates):
Ir 0.250 0.750 0.500
Ir 0.750 0.250 0.500
O 0.250 0.750 0.000
O 0.750 0.250 0.000
N 0.250 0.250 0.640
N 0.750 0.750 0.360
Li 0.750 0.750 0.937
Li 0.250 0.250 0.063

ΔE to the lowest computed polymorph   0.498 eV per atom
Symmetry   No. 129

Entry 8:
LiIrNO: relaxed, PBE.

Unit cell a=3.298 b=5.139 c=5.682 alpha=90.00 beta=90.00 gamma=90.00
Atoms (fractional coordinates):
N 0.000 0.903 0.332
N 0.000 0.403 0.668
O 0.500 0.877 0.857
O 0.500 0.377 0.143
Ir 0.500 0.987 0.206
Ir 0.500 0.487 0.794
Li 0.000 0.986 0.694
Li 0.000 0.486 0.306

ΔE to the lowest computed polymorph   0.000 eV per atom
Symmetry   No. 26

Entry 9:
LiIrNO: relaxed, PBE.

Unit cell a=3.210 b=3.210 c=7.303 alpha=90.00 beta=90.00 gamma=90.00
Atoms (fractional coordinates):
Ir 0.000 0.000 0.185
Ir 0.500 0.500 0.815
O 0.000 0.500 0.000
O 0.500 0.000 0.000
N 0.000 0.000 0.683
N 0.500 0.500 0.317
Li 0.500 0.000 0.500
Li 0.000 0.500 0.500

ΔE to the lowest computed polymorph   0.859 eV per atom
Symmetry   No. 129

Entry 10:
Li2IrPbN: relaxed, PBE.

Unit cell a=4.410 b=4.410 c=3.805 alpha=90.00 beta=90.00 gamma=90.00
Atoms (fractional coordinates):
Li 0.000 0.500 0.000
Li 0.500 0.000 0.000
N 0.000 0.000 0.000
Pb 0.500 0.500 0.500
Ir 0.000 0.000 0.500

Symmetry   No. 123

Entry 11:
SrLi3IrN3: relaxed, PBE.

Unit cell a=7.359 b=7.359 c=7.359 alpha=48.26 beta=48.26 gamma=48.26
Site moments in Bohr magnetons follow the coordinates.
Atoms (fractional coordinates):
N 0.079 0.405 0.779  0.12
N 0.779 0.079 0.405  0.10
N 0.595 0.221 0.921  0.12
N 0.921 0.595 0.221  0.12
N 0.405 0.779 0.079  0.12
N 0.221 0.921 0.595  0.10
Sr 0.659 0.659 0.659  0.01
Sr 0.341 0.341 0.341  0.01
Li 0.919 0.234 0.437  0.00
Li 0.234 0.437 0.919  0.00
Li 0.563 0.081 0.766  0.00
Li 0.081 0.766 0.563  0.00
Li 0.437 0.919 0.234  0.00
Li 0.766 0.563 0.081  0.00
Ir 0.083 0.083 0.083  0.45
Ir 0.917 0.917 0.917  0.45

Symmetry   No. 148

Entry 12:
Li2TlIrN: relaxed, PBE.

Unit cell a=4.408 b=4.408 c=3.772 alpha=90.00 beta=90.00 gamma=90.00
Atoms (fractional coordinates):
Ir 0.000 0.000 0.500
Li 0.000 0.500 0.000
Li 0.500 0.000 0.000
Tl 0.500 0.500 0.500
N 0.000 0.000 0.000

Symmetry   No. 123

| no. | VASP energy (eV per atom) |
| --- | --- |
| 1 | -6.459 |
| 2 | -5.693 |
| 3 | -6.349 |
| 4 | -8.012 |
| 5 | -6.960 |
| 6 | -6.315 |
| 7 | -5.822 |
| 8 | -6.320 |
| 9 | -5.461 |
| 10 | -5.211 |
| 11 | -5.495 |
| 12 | -4.950 |